[1]
Computed, not measured: a relaxed structure of MgIn2 at the PBEsol level of DFT.

Calculated values
total moment = 0.00 μB/f.u.
V = 281.91 Å³/cell
E_tot = -2.644 eV/atom
crystal system = orthorhombic

Geometry as CIF:
```
data_MgIn2
_cell_length_a 6.381
_cell_length_b 4.543
_cell_length_c 9.726
_cell_angle_alpha 90.00
_cell_angle_beta 90.00
_cell_angle_gamma 90.00
_space_group_name_H-M_alt 'P n m a'
_space_group_IT_number 62
loop_
_space_group_symop_operation_xyz
'x,y,z'
'-x,-y,-z'
'-x+1/2,-y,z+1/2'
'x+1/2,y,-z+1/2'
'x+1/2,-y+1/2,-z+1/2'
'-x+1/2,y+1/2,z+1/2'
'-x,y+1/2,-z'
'x,-y+1/2,z'
loop_
_atom_site_label
_atom_site_type_symbol
_atom_site_fract_x
_atom_site_fract_y
_atom_site_fract_z
_atom_site_occupancy
Mg1 Mg 0.132 0.250 0.090 1
In1 In 0.115 0.250 0.759 1
In2 In 0.134 0.250 0.423 1
```

---

[2]
Computed, not measured: a relaxed structure of Sr2BS at the PBEsol level of DFT.

Calculated values
formation energy (no corrections) = -177 meV/atom
total moment = 0.12 μB/f.u.
V = 446.24 Å³/cell
E_tot = -3.947 eV/atom
crystal system = tetragonal

Geometry as CIF:
```
data_Sr2BS
_cell_length_a 7.484
_cell_length_b 7.484
_cell_length_c 7.966
_cell_angle_alpha 90.00
_cell_angle_beta 90.00
_cell_angle_gamma 90.00
_space_group_name_H-M_alt 'I -4 2 d'
_space_group_IT_number 122
_space_group_name_Hall 'I -4 2bw'
loop_
_atom_site_label
_atom_site_type_symbol
_atom_site_fract_x
_atom_site_fract_y
_atom_site_fract_z
_atom_site_occupancy
Sr1 Sr 0.248 0.750 0.125 1
B1 B 0.000 0.000 0.000 1
S1 S 0.000 0.000 0.500 1
```

---

[3]
Computed, not measured: a relaxed structure of Mn4MoOs at the PBEsol level of DFT.

Calculated values
total moment = 0.00 μB/f.u.
V = 279.77 Å³/cell
E_tot = -10.570 eV/atom
crystal system = cubic

Geometry as CIF:
```
data_Mn4MoOs
_cell_length_a 6.540
_cell_length_b 6.540
_cell_length_c 6.540
_cell_angle_alpha 90.00
_cell_angle_beta 90.00
_cell_angle_gamma 90.00
_space_group_name_H-M_alt 'F -4 3 m'
_space_group_IT_number 216
_space_group_name_Hall 'F -4 2 3'
loop_
_atom_site_label
_atom_site_type_symbol
_atom_site_fract_x
_atom_site_fract_y
_atom_site_fract_z
_atom_site_occupancy
Mn1 Mn 0.124 0.124 0.376 1
Mo1 Mo 0.000 0.000 0.000 1
Os1 Os 0.250 0.250 0.750 1
```

---

[4]
Computed, not measured: a relaxed structure of CsTl2Hg at the PBEsol level of DFT.

Calculated values
total moment = 0.00 μB/f.u.
V = 511.76 Å³/cell
E_tot = -1.653 eV/atom
crystal system = cubic

Geometry as CIF:
```
data_CsTl2Hg
_cell_length_a 7.999
_cell_length_b 7.999
_cell_length_c 7.999
_cell_angle_alpha 90.00
_cell_angle_beta 90.00
_cell_angle_gamma 90.00
_space_group_name_H-M_alt 'F m -3 m'
_space_group_IT_number 225
_space_group_name_Hall '-F 4 2 3'
loop_
_atom_site_label
_atom_site_type_symbol
_atom_site_fract_x
_atom_site_fract_y
_atom_site_fract_z
_atom_site_occupancy
Cs1 Cs 0.000 0.000 0.000 1
Tl1 Tl 0.250 0.250 0.250 1
Hg1 Hg 0.000 0.000 0.500 1
```